[1]
Computed, not measured: a relaxed structure of SmFeB at the PBE level of DFT.

space group	F-43m
V	51.4	Å³ per cell
energy relative to the lowest polymorph listed for this composition	0	meV per atom

Cell: 4.1743 4.1743 4.1743 Å, 60.00 60.00 60.00°
With the nearest neighbours (Å) after each atom.
Element x y z (fractional)
1 Fe 0.2500 0.2500 0.2500  4 B 2.56
2 B 0.0000 0.0000 0.0000  4 Sm 2.56, 4 Fe 2.56
3 Sm 0.7500 0.7500 0.7500  4 B 2.56

---

[2]
Computed, not measured: a relaxed structure of SmFeB4 at the PBE level of DFT.

space group	Immm
V	61.9	Å³ per cell
energy relative to the lowest polymorph listed for this composition	461	meV per atom

Cell: 4.8085 4.8085 4.8085 Å, 141.79 112.30 80.49°
With the nearest neighbours (Å) after each atom.
Element x y z (fractional)
1 B 0.0912 0.7547 0.3365  3 B 1.75-1.83
2 B 0.5818 0.2453 0.3365  3 B 1.75-1.83
3 B 0.4182 0.7547 0.6635  3 B 1.75-1.83
4 Sm 0.0000 0.0000 0.0000  12 B 2.55-2.60
5 B 0.9088 0.2453 0.6635  3 B 1.75-1.83
6 Fe 0.5000 0.5000 0.0000  12 B 2.55-2.60

---

[3]
Computed, not measured: a relaxed structure of SmFeB4 at the PBE level of DFT.

space group	Pbam
V	235.8	Å³ per cell
energy relative to the lowest polymorph listed for this composition	0	meV per atom

Cell: 5.9528 11.5163 3.4395 Å, 90.00 90.00 90.00°
With the nearest neighbours (Å) after each atom.
Element x y z (fractional)
1 B 0.1104 0.5452 0.5000  3 B 1.68-1.73
2 B 0.3584 0.4677 0.5000  3 B 1.72-1.84
3 B 0.7787 0.1823 0.5000  3 B 1.79-1.89
4 B 0.6104 0.9548 0.5000  3 B 1.68-1.73
5 Sm 0.1255 0.1507 0.0000  14 B 2.63-2.74
6 B 0.0243 0.6885 0.5000  3 B 1.73-1.89
7 Sm 0.8745 0.8493 0.0000  14 B 2.63-2.74
8 B 0.5243 0.8115 0.5000  3 B 1.73-1.89
9 B 0.6416 0.5323 0.5000  3 B 1.72-1.84
10 Fe 0.3687 0.9125 0.0000  10 B 2.22-2.30
11 Fe 0.8687 0.5875 0.0000  10 B 2.22-2.30
12 B 0.1416 0.9677 0.5000  3 B 1.72-1.84
13 B 0.8584 0.0323 0.5000  3 B 1.72-1.84
14 B 0.8896 0.4548 0.5000  3 B 1.68-1.73
15 B 0.4757 0.1885 0.5000  3 B 1.73-1.89
16 B 0.2787 0.3177 0.5000  3 B 1.79-1.89
17 B 0.9757 0.3115 0.5000  3 B 1.73-1.89
18 Fe 0.1313 0.4125 0.0000  10 B 2.22-2.30
19 B 0.7213 0.6823 0.5000  3 B 1.79-1.89
20 Sm 0.3745 0.6507 0.0000  14 B 2.63-2.74
21 B 0.2213 0.8177 0.5000  3 B 1.79-1.89
22 B 0.3896 0.0452 0.5000  3 B 1.68-1.73
23 Fe 0.6313 0.0875 0.0000  10 B 2.22-2.30
24 Sm 0.6255 0.3493 0.0000  14 B 2.63-2.74

---

- Which formula does entry 2 have?
  SmFeB4

---

- Among the records above, which one has the lowest V?
  SmFeB

---

- Look up the energy relative to the lowest polymorph listed for this composition of the third one.
  0 meV per atom